Here is an optimized crystal structure of LaEr3Ag4 from the Alexandria database. Energies are from PBE.

Cell: 10.3403 7.3555 5.1714 Å, 90.00 90.00 90.00°
With the nearest neighbours (Å) after each atom.
Space group Pmma (No. 51)
Inequivalent atoms, fractional coordinates:
La 0.0000 0.0000 0.0000 x2  8 Ag 3.25
Er 0.0000 0.5000 0.0000 x2  8 Ag 3.10
Er 0.2500 0.0000 0.4995 x2  8 Ag 3.24-3.25
Er 0.2500 0.5000 0.4994 x2  8 Ag 3.10
Ag 0.0000 0.2667 0.5000 x4  6 Er 3.10-3.25, 2 La 3.25, 1 Ag 3.43
Ag 0.2500 0.2669 0.9989 x4  6 Er 3.10-3.25, 2 La 3.25, 1 Ag 3.43

Calculated values
* calculated volume: 393.3 Å³ per cell
* D(E_F): 10.81 states/eV/cell
* theoretical density: 9.1 g/cm3
* total energy: -4.0528 eV/atom